Entry 1:
Below is crystalline PRuS2Cl at its relaxed geometry, with properties calculated at the PBE level.

Computed properties:
The value obtained for the magnetization is 0.00 μB/f.u. For the energy, the calculation gives -4.4322 eV/atom. Its uncorrected formation energy is 2.63 eV/f.u.

abc: 4.569 4.569 4.745
angles: 90.00 90.00 90.00
Positions (direct):
1 P 0.000 0.000 0.000
2 Ru 0.000 0.000 0.500
3 S 0.000 0.500 0.500
4 S 0.500 0.000 0.500
5 Cl 0.500 0.500 0.000

Entry 2:
Below is crystalline SmU4C5 at its relaxed geometry, with properties calculated at the PBE level.

Computed properties:
The value obtained for the magnetization is 0.00 μB/f.u. For the energy, the calculation gives -9.7128 eV/atom. The calculation puts the formation energy at -11.0 kJ/mol of atoms.

abc: 9.294 9.294 9.294
angles: 158.28 148.51 38.58
Positions (direct):
1 Sm 0.000 0.000 0.000
2 U 0.201 0.201 0.000
3 U 0.400 0.400 0.000
4 U 0.600 0.600 0.000
5 U 0.799 0.799 0.000
6 C 0.113 0.613 0.500
7 C 0.303 0.803 0.500
8 C 0.500 0.000 0.500
9 C 0.697 0.197 0.500
10 C 0.887 0.387 0.500